No. 1
# PBE-GGA ZrVNi, optimized geometry
data_ZrVNi
_cell_length_a 3.024
_cell_length_b 4.199
_cell_length_c 7.462
_cell_angle_alpha 93.84
_cell_angle_beta 91.80
_cell_angle_gamma 91.18
_symmetry_space_group_name_H-M 'P 1'
_symmetry_Int_Tables_number 1
_symmetry_space_group_name_Hall 'P 1'
loop_
_atom_site_label
_atom_site_fract_x
_atom_site_fract_y
_atom_site_fract_z
Zr1 0.502 0.776 0.707
Zr2 0.498 0.224 0.293
V1 0.865 0.282 0.936
V2 0.135 0.718 0.064
Ni1 0.015 0.263 0.602
Ni2 0.985 0.737 0.398
# Symmetry: P-1 (2)
# Energy relative to the lowest polymorph listed for this composition in meV/atom: 110

No. 2
# PBE-GGA TbTm2Pb, optimized geometry
data_TbTm2Pb
_cell_length_a 3.465
_cell_length_b 3.465
_cell_length_c 12.056
_cell_angle_alpha 81.74
_cell_angle_beta 81.74
_cell_angle_gamma 60.00
_symmetry_space_group_name_H-M 'P 1'
_symmetry_Int_Tables_number 1
_symmetry_space_group_name_Hall 'P 1'
loop_
_atom_site_label
_atom_site_fract_x
_atom_site_fract_y
_atom_site_fract_z
Pb1 0.500 0.500 0.500
Tm1 0.907 0.907 0.280
Tm2 0.093 0.093 0.720
Tb1 0.000 0.000 0.000
# Symmetry: R-3m (166)
# Energy relative to the lowest polymorph listed for this composition in meV/atom: 410

What are the E_tot values for these records? In order: -7.948; -4.203 eV/atom.
What are the M_tot values for these records? In order: 0.000; 0.729 μB/f.u..